GGA+U VRe3F, optimized geometry; energy above the most stable polymorph in this dataset = 0 meV/atom; VASP energy = -39.2 eV for the cell shown; space group = Pm-3m; calculated density = 14.460 g/cm³
1.0
4.1637 0.0000 0.0000
0.0000 4.1637 0.0000
0.0000 0.0000 4.1637
Re V F
3 1 1
Direct
0.0000 0.5000 0.0000 Re
0.0000 0.0000 0.5000 Re
0.5000 0.0000 0.0000 Re
0.5000 0.5000 0.5000 V
0.0000 0.0000 0.0000 F